# PBE SiAgPO2, relaxed
data_SiAgPO2
_symmetry_space_group_name_H-M 'P 4/m m m'
_symmetry_Int_Tables_number 123
_symmetry_space_group_name_Hall '-P 4 2'
_cell_length_a 3.463
_cell_length_b 3.463
_cell_length_c 5.444
_cell_angle_alpha 90.00
_cell_angle_beta 90.00
_cell_angle_gamma 90.00
loop_
_atom_site_label
_atom_site_fract_x
_atom_site_fract_y
_atom_site_fract_z
Si1 0.000 0.000 0.000
Ag1 0.500 0.500 0.500
P1 0.000 0.000 0.500
O1 0.000 0.500 0.000
# Mass density ... 5.061 g cm⁻³
# Energy relative to the elements, uncorrected ... -3.80 eV/f.u.
# Offset from the most stable computed form ... 0 meV per atom

# PBE SiAgP2O, relaxed
data_SiAgP2O
_symmetry_space_group_name_H-M 'P 4/m m m'
_symmetry_Int_Tables_number 123
_symmetry_space_group_name_Hall '-P 4 2'
_cell_length_a 4.855
_cell_length_b 4.855
_cell_length_c 3.896
_cell_angle_alpha 90.00
_cell_angle_beta 90.00
_cell_angle_gamma 90.00
loop_
_atom_site_label
_atom_site_fract_x
_atom_site_fract_y
_atom_site_fract_z
Si1 0.000 0.000 0.000
Ag1 0.500 0.500 0.500
P1 0.000 0.500 0.500
O1 0.500 0.500 0.000
# Mass density ... 3.868 g cm⁻³
# Energy relative to the elements, uncorrected ... 5.38 eV/f.u.
# Offset from the most stable computed form ... 1215 meV per atom

# PBE SiAgPO2, relaxed
data_SiAgPO2
_symmetry_space_group_name_H-M 'P 4/m m m'
_symmetry_Int_Tables_number 123
_symmetry_space_group_name_Hall '-P 4 2'
_cell_length_a 3.950
_cell_length_b 3.950
_cell_length_c 4.962
_cell_angle_alpha 90.00
_cell_angle_beta 90.00
_cell_angle_gamma 90.00
loop_
_atom_site_label
_atom_site_fract_x
_atom_site_fract_y
_atom_site_fract_z
Si1 0.000 0.000 0.000
Ag1 0.500 0.500 0.500
P1 0.500 0.500 0.000
O1 0.000 0.500 0.500
# Mass density ... 4.267 g cm⁻³
# Energy relative to the elements, uncorrected ... 3.74 eV/f.u.
# Offset from the most stable computed form ... 1507 meV per atom

# PBE AgSnPO2, relaxed
data_AgSnPO2
_symmetry_space_group_name_H-M 'P 4/m m m'
_symmetry_Int_Tables_number 123
_symmetry_space_group_name_Hall '-P 4 2'
_cell_length_a 3.927
_cell_length_b 3.927
_cell_length_c 5.707
_cell_angle_alpha 90.00
_cell_angle_beta 90.00
_cell_angle_gamma 90.00
loop_
_atom_site_label
_atom_site_fract_x
_atom_site_fract_y
_atom_site_fract_z
Ag1 0.000 0.000 0.000
Sn1 0.500 0.500 0.500
P1 0.500 0.500 0.000
O1 0.000 0.500 0.500
# Mass density ... 5.462 g cm⁻³
# Energy relative to the elements, uncorrected ... -0.75 eV/f.u.
# Offset from the most stable computed form ... 0 meV per atom

# PBE AgSnPO2, relaxed
data_AgSnPO2
_symmetry_space_group_name_H-M 'P 4/m m m'
_symmetry_Int_Tables_number 123
_symmetry_space_group_name_Hall '-P 4 2'
_cell_length_a 4.078
_cell_length_b 4.078
_cell_length_c 4.903
_cell_angle_alpha 90.00
_cell_angle_beta 90.00
_cell_angle_gamma 90.00
loop_
_atom_site_label
_atom_site_fract_x
_atom_site_fract_y
_atom_site_fract_z
Ag1 0.000 0.000 0.000
Sn1 0.500 0.500 0.500
P1 0.000 0.000 0.500
O1 0.000 0.500 0.000
# Mass density ... 5.898 g cm⁻³
# Energy relative to the elements, uncorrected ... 1.70 eV/f.u.
# Offset from the most stable computed form ... 489 meV per atom

# PBE SrAg2PO4, relaxed
data_SrAg2PO4
_symmetry_space_group_name_H-M 'I 2 2 2'
_symmetry_Int_Tables_number 23
_cell_length_a 6.060
_cell_length_b 6.382
_cell_length_c 6.607
_cell_angle_alpha 90.00
_cell_angle_beta 90.00
_cell_angle_gamma 90.00
loop_
_symmetry_equiv_pos_as_xyz
'x,y,z'
'-x,-y,z'
'x,-y,-z'
'-x,y,-z'
'x+1/2,y+1/2,z+1/2'
'-x+1/2,-y+1/2,z+1/2'
'x+1/2,-y+1/2,-z+1/2'
'-x+1/2,y+1/2,-z+1/2'
loop_
_atom_site_label
_atom_site_fract_x
_atom_site_fract_y
_atom_site_fract_z
Sr1 0.000 0.000 0.000
Ag1 0.000 0.277 0.500
P1 0.000 0.500 0.000
O1 0.148 0.353 0.866
# Mass density ... 5.177 g cm⁻³
# Energy relative to the elements, uncorrected ... -12.73 eV/f.u.

# PBE SrAgP2O6, relaxed
data_SrAgP2O6
_symmetry_space_group_name_H-M 'R -3'
_symmetry_Int_Tables_number 148
_symmetry_space_group_name_Hall '-R 3'
_cell_length_a 5.7633
_cell_length_b 5.7633
_cell_length_c 17.2462
_cell_angle_alpha 90.00
_cell_angle_beta 90.00
_cell_angle_gamma 120.00
loop_
_atom_site_label
_atom_site_fract_x
_atom_site_fract_y
_atom_site_fract_z
Sr1 0.0000 0.0000 0.0000
Ag1 0.0000 0.0000 0.5000
P1 0.0000 0.0000 0.2614
O1 0.0131 0.7451 0.7496
# Mass density ... 3.549 g cm⁻³
# Energy relative to the elements, uncorrected ... -18.24 eV/f.u.

# PBE SrAgPO4, relaxed
data_SrAgPO4
_symmetry_space_group_name_H-M 'F -4 3 m'
_symmetry_Int_Tables_number 216
_symmetry_space_group_name_Hall 'F -4 2 3'
_cell_length_a 8.511
_cell_length_b 8.511
_cell_length_c 8.511
_cell_angle_alpha 90.00
_cell_angle_beta 90.00
_cell_angle_gamma 90.00
loop_
_atom_site_label
_atom_site_fract_x
_atom_site_fract_y
_atom_site_fract_z
Sr1 0.000 0.000 0.000
Ag1 0.250 0.250 0.750
P1 0.000 0.000 0.500
O1 0.104 0.104 0.604
# Mass density ... 3.129 g cm⁻³
# Energy relative to the elements, uncorrected ... -11.46 eV/f.u.

# PBE TaAgP2O, relaxed
data_TaAgP2O
_symmetry_space_group_name_H-M 'P 4/m m m'
_symmetry_Int_Tables_number 123
_symmetry_space_group_name_Hall '-P 4 2'
_cell_length_a 4.722
_cell_length_b 4.722
_cell_length_c 3.854
_cell_angle_alpha 90.00
_cell_angle_beta 90.00
_cell_angle_gamma 90.00
loop_
_atom_site_label
_atom_site_fract_x
_atom_site_fract_y
_atom_site_fract_z
Ta1 0.000 0.000 0.000
Ag1 0.500 0.500 0.500
P1 0.000 0.500 0.500
O1 0.500 0.500 0.000
# Mass density ... 7.088 g cm⁻³
# Energy relative to the elements, uncorrected ... 4.94 eV/f.u.
# Offset from the most stable computed form ... 1321 meV per atom

# PBE TaAgP2O8, relaxed
data_TaAgP2O8
_symmetry_space_group_name_H-M 'C 1 2/m 1'
_symmetry_Int_Tables_number 12
_cell_length_a 8.924
_cell_length_b 5.295
_cell_length_c 8.757
_cell_angle_alpha 90.00
_cell_angle_beta 102.43
_cell_angle_gamma 90.00
loop_
_symmetry_equiv_pos_as_xyz
'x,y,z'
'-x,-y,-z'
'-x,y,-z'
'x,-y,z'
'x+1/2,y+1/2,z'
'-x+1/2,-y+1/2,-z'
'-x+1/2,y+1/2,-z'
'x+1/2,-y+1/2,z'
loop_
_atom_site_label
_atom_site_fract_x
_atom_site_fract_y
_atom_site_fract_z
Ta1 0.000 0.000 0.000
Ag1 0.000 0.000 0.500
P1 0.199 0.500 0.200
O1 0.095 0.264 0.151
O2 0.180 0.000 0.906
O3 0.230 0.000 0.629
# Mass density ... 3.934 g cm⁻³
# Energy relative to the elements, uncorrected ... -26.03 eV/f.u.

# PBE TaAgP2O, relaxed
data_TaAgP2O
_symmetry_space_group_name_H-M 'P 4/m m m'
_symmetry_Int_Tables_number 123
_symmetry_space_group_name_Hall '-P 4 2'
_cell_length_a 4.974
_cell_length_b 4.974
_cell_length_c 3.843
_cell_angle_alpha 90.00
_cell_angle_beta 90.00
_cell_angle_gamma 90.00
loop_
_atom_site_label
_atom_site_fract_x
_atom_site_fract_y
_atom_site_fract_z
Ta1 0.000 0.000 0.000
Ag1 0.500 0.500 0.500
P1 0.000 0.500 0.000
O1 0.000 0.000 0.500
# Mass density ... 6.405 g cm⁻³
# Energy relative to the elements, uncorrected ... -1.66 eV/f.u.
# Offset from the most stable computed form ... 0 meV per atom

# PBE TaAgPO6, relaxed
data_TaAgPO6
_symmetry_space_group_name_H-M 'P 3 1 2'
_symmetry_Int_Tables_number 149
_cell_length_a 5.0402
_cell_length_b 5.0402
_cell_length_c 4.8273
_cell_angle_alpha 90.00
_cell_angle_beta 90.00
_cell_angle_gamma 120.00
loop_
_symmetry_equiv_pos_as_xyz
'x,y,z'
'-y,x-y,z'
'-x+y,-x,z'
'-y,-x,-z'
'-x+y,y,-z'
'x,x-y,-z'
loop_
_atom_site_label
_atom_site_fract_x
_atom_site_fract_y
_atom_site_fract_z
Ta1 0.0000 0.0000 0.0000
Ag1 0.6667 0.3333 0.5000
P1 0.3333 0.6667 0.0000
O1 0.0641 0.3719 0.2031
# Mass density ... 6.501 g cm⁻³
# Energy relative to the elements, uncorrected ... -15.53 eV/f.u.